An optimized crystal structure of Tm2LuSn. Source: the Alexandria database, functional PBE-GGA.

Values from the calculation:
Total energy in eV per atom: -4.323
DFT formation energy in eV/atom: 0.044
Fermi-level density of states in states/eV/f.u.: 5.97
Energy relative to the lowest polymorph listed for this composition in eV/atom: 0.427

```
data_Tm2LuSn
_cell_length_a 3.4258
_cell_length_b 3.4258
_cell_length_c 34.8434
_cell_angle_alpha 90.00
_cell_angle_beta 90.00
_cell_angle_gamma 120.00
_symmetry_space_group_name_H-M 'R -3 m'
_symmetry_Int_Tables_number 166
_symmetry_space_group_name_Hall '-R 3 2"'
loop_
_atom_site_label
_atom_site_fract_x
_atom_site_fract_y
_atom_site_fract_z
_atom_site_occupancy
Tm1 0.0000 0.0000 0.0943 1
Lu1 0.0000 0.0000 0.0000 1
Sn1 0.0000 0.0000 0.5000 1
```